# 1
## SrTc2W (meta-GGA SCAN)

Data for a crystal of SrTc2W relaxed with PBEsol.

Cell: 2.958 3.616 7.432 Å, 90.00 90.19 90.00°
Sites, in units of the cell vectors:
Sr 0.000 0.000 0.000
Tc 0.030 0.000 0.487
Tc 0.505 0.500 0.331
W 0.498 0.500 0.659

# 2
## Sr3TcW (meta-GGA SCAN)

Data for a crystal of Sr3TcW relaxed with PBEsol.

Cell: 5.631 5.631 5.631 Å, 90.00 90.00 90.00°
Sites, in units of the cell vectors:
Sr 0.000 0.000 0.500
Sr 0.000 0.500 0.000
Sr 0.500 0.000 0.000
Tc 0.500 0.500 0.500
W 0.000 0.000 0.000

# 3
## SrYTc3 (meta-GGA SCAN)

Data for a crystal of SrYTc3 relaxed with PBEsol.

Cell: 4.866 4.866 4.866 Å, 90.00 90.00 90.00°
Sites, in units of the cell vectors:
Sr 0.000 0.000 0.000
Y 0.500 0.500 0.500
Tc 0.000 0.500 0.500
Tc 0.500 0.000 0.500
Tc 0.500 0.500 0.000

# 4
## SrY2Tc (meta-GGA SCAN)

Data for a crystal of SrY2Tc relaxed with PBEsol.

Cell: 3.473 3.473 9.565 Å, 90.00 90.00 90.00°
Sites, in units of the cell vectors:
Sr 0.000 0.000 0.000
Y 0.500 0.500 0.334
Y 0.500 0.500 0.666
Tc 0.000 0.000 0.500

Output
- polymorph energy (0 for the lowest one) (eV/atom) = 0.000

# 5
## SrY2Tc (meta-GGA SCAN)

Data for a crystal of SrY2Tc relaxed with PBEsol.

Cell: 3.573 5.915 10.752 Å, 90.00 90.00 90.00°
Sites, in units of the cell vectors:
Sr 0.000 0.000 0.000
Sr 0.500 0.500 0.500
Y 0.000 0.500 0.190
Y 0.000 0.500 0.810
Y 0.500 0.000 0.310
Y 0.500 0.000 0.690
Tc 0.000 0.000 0.500
Tc 0.500 0.500 0.000

Output
- polymorph energy (0 for the lowest one) (eV/atom) = 0.221

# 6
## Sr2ZnTc (meta-GGA SCAN)

Data for a crystal of Sr2ZnTc relaxed with PBEsol.

Cell: 4.336 4.540 11.264 Å, 90.00 90.00 90.00°
Sites, in units of the cell vectors:
Sr 0.000 0.000 0.000
Sr 0.000 0.500 0.500
Sr 0.500 0.000 0.285
Sr 0.500 0.500 0.785
Zn 0.500 0.000 0.589
Zn 0.500 0.500 0.089
Tc 0.000 0.000 0.693
Tc 0.000 0.500 0.193

| no. | total DFT energy (no corrections) (eV/atom) | ΔH_f (0 K) (meV/atom) |
| --- | --- | --- |
| 1 | -39.82 | 703 |
| 2 | -32.45 | 1861 |
| 3 | -29.22 | 1835 |
| 4 | -28.20 | 52 |
| 5 | -27.98 | 273 |
| 6 | -22.94 | 340 |